The following is a PBE+U calculation of a relaxed NaMn3P3H2O12 crystal, from Alexandria.

- Total DFT energy (no corrections): -593.39 eV for the cell shown

a = 12.331 Å, b = 12.499 Å, c = 6.747 Å
α = 90.00°, β = 114.68°, γ = 90.00°
Space group C2/c (No. 15)
Symmetry-distinct sites (fractional):
Na 0.000 0.046 0.250 [4 per cell]
Mn 0.000 0.282 0.750 [4 per cell]
Mn 0.214 0.162 0.633 [8 per cell]
P 0.000 0.321 0.250 [4 per cell]
P 0.213 0.109 0.109 [8 per cell]
H 0.124 0.494 0.812 [8 per cell]
O 0.037 0.248 0.457 [8 per cell]
O 0.105 0.394 0.263 [8 per cell]
O 0.149 0.001 0.092 [8 per cell]
O 0.150 0.413 0.848 [8 per cell]
O 0.154 0.172 0.893 [8 per cell]
O 0.212 0.175 0.301 [8 per cell]